1.
## DyZn2Co2C (PBE)

Data for a geometry-optimized DyZn2Co2C structure.

Cell lengths 3.819, 3.819, 12.700 Å; angles 90.00, 90.00, 90.00 degrees
Space group I4/mmm (No. 139)
Inequivalent atoms, fractional coordinates:
Dy (0.000, 0.000, 0.000) (multiplicity 2)
Zn (0.000, 0.500, 0.250) (multiplicity 4)
Co (0.000, 0.000, 0.366) (multiplicity 4)
C (0.000, 0.000, 0.500) (multiplicity 2)

Values from the calculation:
Total DFT energy (no corrections): -5.09 eV per atom
Magnetic moment: 0.0 μB per formula unit

=====

2.
## Dy2Zn3Cu12Ni (PBE)

Data for a geometry-optimized Dy2Zn3Cu12Ni structure.

Cell lengths 6.0954, 6.0954, 26.7571 Å; angles 90.00, 90.00, 120.00 degrees
Space group R-3m (No. 166, hexagonal axes)
Inequivalent atoms, fractional coordinates:
Dy (0.0000, 0.0000, 0.1491) (multiplicity 6)
Zn (0.0000, 0.5000, 0.0000) (multiplicity 9)
Cu (0.0423, 0.5212, 0.0992) (multiplicity 18)
Cu (0.0720, 0.5360, 0.6158) (multiplicity 18)
Ni (0.0000, 0.0000, 0.5000) (multiplicity 3)

Values from the calculation:
Total DFT energy (no corrections): -3.65 eV per atom
Magnetic moment: 0.0 μB per formula unit

=====

3.
## UPa2Ge (PBE)

Data for a geometry-optimized UPa2Ge structure.

Cell lengths 3.722, 3.722, 6.362 Å; angles 90.00, 90.00, 90.00 degrees
Space group P4/mmm (No. 123)
Inequivalent atoms, fractional coordinates:
U (0.000, 0.000, 0.000) (multiplicity 1)
Pa (0.500, 0.500, 0.251) (multiplicity 2)
Ge (0.000, 0.000, 0.500) (multiplicity 1)

Values from the calculation:
Polymorph energy (0 for the lowest one): 145.5 meV per atom
Total DFT energy (no corrections): -8.82 eV per atom
Magnetic moment: 1.1 μB per formula unit

=====

4.
## Li5AlCu2 (PBE)

Data for a geometry-optimized Li5AlCu2 structure.

Cell lengths 5.360, 10.433, 4.252 Å; angles 90.00, 90.00, 90.00 degrees
Space group Pbam (No. 55)
Inequivalent atoms, fractional coordinates:
Li (0.000, 0.000, 0.000) (multiplicity 2)
Li (0.141, 0.239, 0.000) (multiplicity 4)
Li (0.180, 0.865, 0.500) (multiplicity 4)
Al (0.000, 0.500, 0.000) (multiplicity 2)
Cu (0.164, 0.602, 0.500) (multiplicity 4)

Values from the calculation:
Total DFT energy (no corrections): -2.76 eV per atom
Magnetic moment: 0.0 μB per formula unit